1.
Density functional theory data (PBE) for an optimized crystal structure of Ba2ZrIr.

- electronic total energy (eV per atom) = -5.42
- magnetic moment (μB/atom) = 0.002
- E_form (meV per atom) = -110.7

The structure in extended XYZ format:
```
4
Lattice="3.920 0.000 0.000 0.000 3.771 0.000 -1.886 0.000 9.837" Properties=species:S:1:pos:R:3 pbc="T T T"
Ba 0.000 0.000 0.000
Ba -0.008 1.886 5.873
Zr 1.958 1.886 2.790
Ir -0.002 0.000 3.146
```


2.
Density functional theory data (PBE) for an optimized crystal structure of BaZr2Ir.

- electronic total energy (eV per atom) = -6.75
- magnetic moment (μB/atom) = 0.002
- E_form (meV per atom) = 224.0

The structure in extended XYZ format:
```
4
Lattice="1.782 1.029 9.779 -1.782 1.029 9.779 0.000 -2.058 9.779" Properties=species:S:1:pos:R:3 pbc="T T T"
Ba 0.000 0.000 0.000
Zr 0.000 0.000 6.564
Zr 0.000 0.000 13.830
Ir 0.000 0.000 21.986
```


3.
Density functional theory data (PBE) for an optimized crystal structure of BaZr2Ir.

- electronic total energy (eV per atom) = -6.41
- magnetic moment (μB/atom) = 0.000
- E_form (meV per atom) = 560.6

The structure in extended XYZ format:
```
4
Lattice="2.954 -4.963 0.000 2.954 4.963 0.000 0.000 0.000 3.139" Properties=species:S:1:pos:R:3 pbc="T T T"
Ba 0.000 0.000 0.000
Zr 1.477 2.481 1.570
Zr 1.477 -2.481 1.570
Ir 2.954 0.000 0.000
```